<A>
! TcAsAu PBE optimized geometry; values from VASP
! Calculated volume   50.29 Å³ per cell
&SYSTEM
  ibrav = 0, nat = 3, ntyp = 3
/
ATOMIC_SPECIES
As 74.92 As.upf
Tc 98.00 Tc.upf
Au 196.97 Au.upf
CELL_PARAMETERS angstrom
5.5137 0.0169 0.0000
3.6918 4.0953 0.0000
-4.6027 -2.0561 2.2334
ATOMIC_POSITIONS crystal
As 0.0247 0.0247 0.0000
Tc 0.6420 0.6420 0.0000
Au 0.3333 0.3333 0.0000

=====

<B>
! TcAsAu PBE optimized geometry; values from VASP
! Calculated volume   52.66 Å³ per cell
&SYSTEM
  ibrav = 0, nat = 3, ntyp = 3
/
ATOMIC_SPECIES
Tc 98.00 Tc.upf
As 74.92 As.upf
Au 196.97 Au.upf
CELL_PARAMETERS angstrom
-2.4320 0.3351 1.6611
2.1935 -1.7670 0.9232
2.9512 5.3564 3.2405
ATOMIC_POSITIONS crystal
Tc 0.3333 0.6667 0.6943
As 0.0000 0.0000 0.9526
Au 0.6667 0.3333 0.3531

=====

Here are the energies relative to the best structure, in eV/atom: <A> 0.039; <B> 0.000.